The following is a DFT calculation (PBE) of a relaxed structure of ZrCdW2S.

a b c (Å): 4.4692 4.4692 4.8991
angles (deg): 90.00 90.00 90.00
Last column: nearest neighbours and their distance in Å.
Atoms (fractional coordinates):
Zr (0.0000, 0.0000, 0.0000)  4 Cd 3.16, 8 W 3.32
Cd (0.5000, 0.5000, 0.0000)  2 S 2.45
W (0.0000, 0.5000, 0.5000)  2 S 2.23
W (0.5000, 0.0000, 0.5000)  2 S 2.23
S (0.5000, 0.5000, 0.5000)  4 W 2.23, 2 Cd 2.45

=====

The following is a DFT calculation (PBE) of a relaxed structure of Y3Cd5S12.

a b c (Å): 13.5802 13.5802 13.5802
angles (deg): 109.47 109.47 109.47
Last column: nearest neighbours and their distance in Å.
Atoms (fractional coordinates):
Y (0.1250, 0.2500, 0.3750)  8 S 2.85-2.89
Y (0.1250, 0.3750, 0.7500)  8 S 2.85-2.89
Y (0.2500, 0.3750, 0.1250)  8 S 2.85-2.89
Y (0.2500, 0.8750, 0.6250)  8 S 2.85-2.89
Y (0.3750, 0.1250, 0.2500)  8 S 2.85-2.89
Y (0.3750, 0.7500, 0.1250)  8 S 2.85-2.89
Y (0.6250, 0.2500, 0.8750)  8 S 2.85-2.89
Y (0.6250, 0.8750, 0.7500)  8 S 2.85-2.89
Y (0.7500, 0.1250, 0.3750)  8 S 2.85-2.89
Y (0.7500, 0.6250, 0.8750)  8 S 2.85-2.89
Y (0.8750, 0.6250, 0.2500)  8 S 2.85-2.89
Y (0.8750, 0.7500, 0.6250)  8 S 2.85-2.89
Cd (0.0000, 0.0000, 0.0000)  6 S 2.72
Cd (0.0000, 0.0000, 0.5000)  6 S 2.72
Cd (0.0000, 0.5000, 0.0000)  6 S 2.72
Cd (0.0000, 0.5000, 0.5000)  6 S 2.72
Cd (0.1250, 0.7500, 0.8750)  4 S 2.51
Cd (0.1250, 0.8750, 0.2500)  4 S 2.51
Cd (0.2500, 0.1250, 0.8750)  4 S 2.51
Cd (0.2500, 0.6250, 0.3750)  4 S 2.51
Cd (0.3750, 0.2500, 0.6250)  4 S 2.51
Cd (0.3750, 0.6250, 0.7500)  4 S 2.51
Cd (0.5000, 0.0000, 0.0000)  6 S 2.72
Cd (0.5000, 0.0000, 0.5000)  6 S 2.72
Cd (0.5000, 0.5000, 0.0000)  6 S 2.72
Cd (0.5000, 0.5000, 0.5000)  6 S 2.72
Cd (0.6250, 0.3750, 0.2500)  4 S 2.51
Cd (0.6250, 0.7500, 0.3750)  4 S 2.51
Cd (0.7500, 0.3750, 0.6250)  4 S 2.51
Cd (0.7500, 0.8750, 0.1250)  4 S 2.51
Cd (0.8750, 0.1250, 0.7500)  4 S 2.51
Cd (0.8750, 0.2500, 0.1250)  4 S 2.51
S (0.0556, 0.2289, 0.1405)  2 Cd 2.51-2.72
S (0.0556, 0.3266, 0.9151)  2 Cd 2.51-2.72
S (0.0849, 0.6405, 0.4116)  2 Cd 2.51-2.72
S (0.0849, 0.9444, 0.6734)  2 Cd 2.51-2.72
S (0.0884, 0.7289, 0.6734)  2 Cd 2.51-2.72
S (0.0884, 0.8595, 0.4151)  2 Cd 2.51-2.72
S (0.1405, 0.0556, 0.2289)  2 Cd 2.51-2.72
S (0.1405, 0.5849, 0.9116)  2 Cd 2.51-2.72
S (0.1734, 0.2289, 0.5884)  2 Cd 2.51-2.72
S (0.1734, 0.4444, 0.5849)  2 Cd 2.51-2.72
S (0.2289, 0.1405, 0.0556)  2 Cd 2.51-2.72
S (0.2289, 0.5884, 0.1734)  2 Cd 2.51-2.72
S (0.2711, 0.3266, 0.9116)  2 Cd 2.51-2.72
S (0.2711, 0.4444, 0.3595)  2 Cd 2.51-2.72
S (0.3266, 0.9116, 0.2711)  2 Cd 2.51-2.72
S (0.3266, 0.9151, 0.0556)  2 Cd 2.51-2.72
S (0.3595, 0.2711, 0.4444)  2 Cd 2.51-2.72
S (0.3595, 0.5884, 0.9151)  2 Cd 2.51-2.72
S (0.4116, 0.0849, 0.6405)  2 Cd 2.51-2.72
S (0.4116, 0.8266, 0.7711)  2 Cd 2.51-2.72
S (0.4151, 0.0884, 0.8595)  2 Cd 2.51-2.72
S (0.4151, 0.8266, 0.5556)  2 Cd 2.51-2.72
S (0.4444, 0.3595, 0.2711)  2 Cd 2.51-2.72
S (0.4444, 0.5849, 0.1734)  2 Cd 2.51-2.72
S (0.5556, 0.4151, 0.8266)  2 Cd 2.51-2.72
S (0.5556, 0.6405, 0.7289)  2 Cd 2.51-2.72
S (0.5849, 0.1734, 0.4444)  2 Cd 2.51-2.72
S (0.5849, 0.9116, 0.1405)  2 Cd 2.51-2.72
S (0.5884, 0.1734, 0.2289)  2 Cd 2.51-2.72
S (0.5884, 0.9151, 0.3595)  2 Cd 2.51-2.72
S (0.6405, 0.4116, 0.0849)  2 Cd 2.51-2.72
S (0.6405, 0.7289, 0.5556)  2 Cd 2.51-2.72
S (0.6734, 0.0849, 0.9444)  2 Cd 2.51-2.72
S (0.6734, 0.0884, 0.7289)  2 Cd 2.51-2.72
S (0.7289, 0.5556, 0.6405)  2 Cd 2.51-2.72
S (0.7289, 0.6734, 0.0884)  2 Cd 2.51-2.72
S (0.7711, 0.4116, 0.8266)  2 Cd 2.51-2.72
S (0.7711, 0.8595, 0.9444)  2 Cd 2.51-2.72
S (0.8266, 0.5556, 0.4151)  2 Cd 2.51-2.72
S (0.8266, 0.7711, 0.4116)  2 Cd 2.51-2.72
S (0.8595, 0.4151, 0.0884)  2 Cd 2.51-2.72
S (0.8595, 0.9444, 0.7711)  2 Cd 2.51-2.72
S (0.9116, 0.1405, 0.5849)  2 Cd 2.51-2.72
S (0.9116, 0.2711, 0.3266)  2 Cd 2.51-2.72
S (0.9151, 0.0556, 0.3266)  2 Cd 2.51-2.72
S (0.9151, 0.3595, 0.5884)  2 Cd 2.51-2.72
S (0.9444, 0.6734, 0.0849)  2 Cd 2.51-2.72
S (0.9444, 0.7711, 0.8595)  2 Cd 2.51-2.72

=====

The following is a DFT calculation (PBE) of a relaxed structure of Y2CdS.

a b c (Å): 5.1266 5.1266 5.1266
angles (deg): 60.00 60.00 60.00
Last column: nearest neighbours and their distance in Å.
Atoms (fractional coordinates):
Y (0.2500, 0.2500, 0.2500)  4 Cd 3.14, 4 S 3.14
Y (0.7500, 0.7500, 0.7500)  4 S 3.14, 4 Cd 3.14
Cd (0.0000, 0.0000, 0.0000)  8 Y 3.14
S (0.5000, 0.5000, 0.5000)  8 Y 3.14

=====

The following is a DFT calculation (PBE) of a relaxed structure of Y8CdS4.

a b c (Å): 9.4742 9.4742 13.1170
angles (deg): 133.79 133.79 23.52
Last column: nearest neighbours and their distance in Å.
Atoms (fractional coordinates):
Y (0.0458, 0.0458, 0.2053)  3 S 2.70-2.71
Y (0.3364, 0.3364, 0.4640)  3 S 2.74-2.84
Y (0.3417, 0.3417, 0.8872)  3 S 2.70-2.71
Y (0.3717, 0.3717, 0.2084)  3 S 2.74-2.83
Y (0.6283, 0.6283, 0.7916)  3 S 2.74-2.83
Y (0.6583, 0.6583, 0.1128)  3 S 2.70-2.71
Y (0.6636, 0.6636, 0.5360)  3 S 2.74-2.84
Y (0.9542, 0.9542, 0.7947)  3 S 2.70-2.71
Cd (0.0000, 0.0000, 0.5000)  8 Y 3.34
S (0.1574, 0.1574, 0.9665)  6 Y 2.70-2.83
S (0.3092, 0.3092, 0.6517)  6 Y 2.70-2.84
S (0.6908, 0.6908, 0.3483)  6 Y 2.70-2.84
S (0.8426, 0.8426, 0.0335)  6 Y 2.70-2.83

=====

The following is a DFT calculation (PBE) of a relaxed structure of Y3CdS.

a b c (Å): 9.0843 3.9002 14.8943
angles (deg): 90.00 90.00 90.00
Last column: nearest neighbours and their distance in Å.
Atoms (fractional coordinates):
Y (0.0253, 0.2500, 0.1094)  3 S 2.72-2.73
Y (0.1650, 0.2500, 0.5170)  2 S 2.70
Y (0.2041, 0.7500, 0.2852)  1 S 2.70
Y (0.2959, 0.2500, 0.7852)  1 S 2.70
Y (0.3350, 0.7500, 0.0170)  2 S 2.70
Y (0.4747, 0.7500, 0.6094)  3 S 2.72-2.73
Y (0.5253, 0.2500, 0.3906)  3 S 2.72-2.73
Y (0.6650, 0.2500, 0.9830)  2 S 2.70
Y (0.7041, 0.7500, 0.2148)  1 S 2.70
Y (0.7959, 0.2500, 0.7148)  1 S 2.70
Y (0.8350, 0.7500, 0.4830)  2 S 2.70
Y (0.9747, 0.7500, 0.8906)  3 S 2.72-2.73
Cd (0.0730, 0.7500, 0.6766)  7 Y 3.19-3.31
Cd (0.4270, 0.2500, 0.1766)  7 Y 3.19-3.31
Cd (0.5730, 0.7500, 0.8234)  7 Y 3.19-3.31
Cd (0.9270, 0.2500, 0.3234)  7 Y 3.19-3.31
S (0.1634, 0.2500, 0.9471)  6 Y 2.70-2.73
S (0.3366, 0.7500, 0.4471)  6 Y 2.70-2.73
S (0.6634, 0.2500, 0.5529)  6 Y 2.70-2.73
S (0.8366, 0.7500, 0.0529)  6 Y 2.70-2.73

=====

The following is a DFT calculation (PBE) of a relaxed structure of Y3CdS6.

a b c (Å): 8.4015 8.4015 6.7691
angles (deg): 90.00 90.00 100.43
Last column: nearest neighbours and their distance in Å.
Atoms (fractional coordinates):
Y (0.0985, 0.9015, 0.5000)  7 S 2.78-2.82
Y (0.2193, 0.4177, 0.4110)  7 S 2.74-2.94
Y (0.4177, 0.2193, 0.9110)  7 S 2.74-2.94
Y (0.5823, 0.7807, 0.4110)  7 S 2.74-2.94
Y (0.7807, 0.5823, 0.9110)  7 S 2.74-2.94
Y (0.9015, 0.0985, 0.0000)  7 S 2.78-2.82
Cd (0.2967, 0.7033, 0.8914)  4 S 2.48-2.59
Cd (0.7033, 0.2967, 0.3914)  4 S 2.48-2.59
S (0.0488, 0.5953, 0.6770)  1 Cd 2.57, 2 Y 2.74-2.80
S (0.1297, 0.1970, 0.7075)  4 Y 2.74-2.82
S (0.1970, 0.1297, 0.2075)  4 Y 2.74-2.82
S (0.2742, 0.7258, 0.2557)  1 Cd 2.48, 2 Y 2.75
S (0.4047, 0.9512, 0.6770)  1 Cd 2.57, 2 Y 2.74-2.80
S (0.4704, 0.5296, 0.6996)  1 Cd 2.59
S (0.5296, 0.4704, 0.1996)  1 Cd 2.59
S (0.5953, 0.0488, 0.1770)  1 Cd 2.57, 2 Y 2.74-2.80
S (0.7258, 0.2742, 0.7557)  1 Cd 2.48, 2 Y 2.75
S (0.8030, 0.8703, 0.7075)  4 Y 2.74-2.82
S (0.8703, 0.8030, 0.2075)  4 Y 2.74-2.82
S (0.9512, 0.4047, 0.1770)  1 Cd 2.57, 2 Y 2.74-2.80

=====

Listing total DFT energy (no corrections) for the structures above in their given order: -7.12, -4.47, -5.07, -6.56, -5.83, -6.08 eV/atom.
Listing calculated volume for the structures above in their given order: 19.570, 24.100, 23.819, 25.564, 26.386, 23.495 A^3/atom.